Record 1
A relaxed MnAuS2 crystal, computed with PBE.

CIF file:
```
data_MnAuS2
_chemical_formula_sum 'Mn4 Au4 S8'
_cell_length_a 6.6901
_cell_length_b 6.7174
_cell_length_c 6.4795
_cell_angle_alpha 90.00
_cell_angle_beta 117.19
_cell_angle_gamma 90.00
_symmetry_space_group_name_H-M 'C 1 c 1'
_symmetry_Int_Tables_number 9
_symmetry_space_group_name_Hall 'C -2yc'
loop_
_atom_site_label
_atom_site_type_symbol
_atom_site_fract_x
_atom_site_fract_y
_atom_site_fract_z
Mn1 Mn 0.0000 0.1615 0.0000
Au1 Au 0.0576 0.4256 0.4801
S1 S 0.1766 0.1074 0.3960
S2 S 0.3340 0.3172 0.1078
```

Density of states at the Fermi level   6.15 states/eV per cell
E_form (uncorrected)   0.06 eV per atom
Density   8.10 g/cm3
Total DFT energy (no corrections)   -81.82 eV/cell


Record 2
A relaxed MnAuS2 crystal, computed with PBE.

CIF file:
```
data_MnAuS2
_chemical_formula_sum 'Mn2 Au2 S4'
_cell_length_a 5.3720
_cell_length_b 5.7344
_cell_length_c 5.7502
_cell_angle_alpha 90.29
_cell_angle_beta 90.38
_cell_angle_gamma 90.62
_symmetry_space_group_name_H-M 'P -1'
_symmetry_Int_Tables_number 2
_symmetry_space_group_name_Hall '-P 1'
loop_
_atom_site_label
_atom_site_type_symbol
_atom_site_fract_x
_atom_site_fract_y
_atom_site_fract_z
Mn1 Mn 0.2501 0.0013 0.4992
Au1 Au 0.0000 0.0000 0.0000
Au2 Au 0.5000 0.5000 0.5000
S1 S 0.0006 0.7500 0.6775
S2 S 0.4967 0.8204 0.2500
```

Density of states at the Fermi level   2.10 states/eV per cell
E_form (uncorrected)   -0.25 eV per atom
Density   5.93 g/cm3
Total DFT energy (no corrections)   -43.42 eV/cell


Record 3
A relaxed MnAuS3 crystal, computed with PBE.

CIF file:
```
data_MnAuS3
_chemical_formula_sum 'Mn1 Au1 S3'
_cell_length_a 4.8096
_cell_length_b 4.8096
_cell_length_c 4.8096
_cell_angle_alpha 90.00
_cell_angle_beta 90.00
_cell_angle_gamma 90.00
_symmetry_space_group_name_H-M 'P m -3 m'
_symmetry_Int_Tables_number 221
_symmetry_space_group_name_Hall '-P 4 2 3'
loop_
_atom_site_label
_atom_site_type_symbol
_atom_site_fract_x
_atom_site_fract_y
_atom_site_fract_z
Mn1 Mn 0.0000 0.0000 0.0000
Au1 Au 0.5000 0.5000 0.5000
S1 S 0.0000 0.5000 0.5000
```

Density of states at the Fermi level   3.61 states/eV per cell
E_form (uncorrected)   0.76 eV per atom
Excess energy over the best structure of this formula in the dataset   236 meV per atom
Density   5.20 g/cm3
Total DFT energy (no corrections)   -21.05 eV/cell


Record 4
A relaxed MnAuS2 crystal, computed with PBE.

CIF file:
```
data_MnAuS2
_chemical_formula_sum 'Mn2 Au2 S4'
_cell_length_a 5.2224
_cell_length_b 6.2202
_cell_length_c 6.8541
_cell_angle_alpha 113.08
_cell_angle_beta 112.19
_cell_angle_gamma 90.78
_symmetry_space_group_name_H-M 'P 1'
_symmetry_Int_Tables_number 1
_symmetry_space_group_name_Hall 'P 1'
loop_
_atom_site_label
_atom_site_type_symbol
_atom_site_fract_x
_atom_site_fract_y
_atom_site_fract_z
Mn1 Mn 0.0000 0.0000 0.0000
Mn2 Mn 0.4874 0.9984 0.0009
Au1 Au 0.0646 0.0413 0.6243
Au2 Au 0.2605 0.4802 0.0366
S1 S 0.1386 0.6835 0.8003
S2 S 0.3816 0.2724 0.2693
S3 S 0.6316 0.0828 0.7721
S4 S 0.8496 0.8956 0.2135
```

Density of states at the Fermi level   2.36 states/eV per cell
E_form (uncorrected)   -0.22 eV per atom
Density   5.64 g/cm3
Total DFT energy (no corrections)   -43.13 eV/cell


Record 5
A relaxed MnAuS2 crystal, computed with PBE.

CIF file:
```
data_MnAuS2
_chemical_formula_sum 'Mn1 Au1 S2'
_cell_length_a 4.0426
_cell_length_b 4.0426
_cell_length_c 6.3502
_cell_angle_alpha 90.00
_cell_angle_beta 90.00
_cell_angle_gamma 120.00
_symmetry_space_group_name_H-M 'P 3 m 1'
_symmetry_Int_Tables_number 156
_symmetry_space_group_name_Hall 'P 3 -2"'
loop_
_atom_site_label
_atom_site_type_symbol
_atom_site_fract_x
_atom_site_fract_y
_atom_site_fract_z
Mn1 Mn 0.0000 0.0000 0.0000
Au1 Au 0.6667 0.3333 0.5737
S1 S 0.0000 0.0000 0.6215
S2 S 0.3333 0.6667 0.0932
```

Density of states at the Fermi level   3.11 states/eV per cell
E_form (uncorrected)   -0.14 eV per atom
Density   5.84 g/cm3
Total DFT energy (no corrections)   -21.27 eV/cell


Record 6
A relaxed Mn2AuS crystal, computed with PBE.

CIF file:
```
data_Mn2AuS
_chemical_formula_sum 'Mn8 Au4 S4'
_cell_length_a 6.6582
_cell_length_b 6.6582
_cell_length_c 6.8910
_cell_angle_alpha 90.00
_cell_angle_beta 90.00
_cell_angle_gamma 90.00
_symmetry_space_group_name_H-M 'I -4 2 d'
_symmetry_Int_Tables_number 122
_symmetry_space_group_name_Hall 'I -4 2bw'
loop_
_atom_site_label
_atom_site_type_symbol
_atom_site_fract_x
_atom_site_fract_y
_atom_site_fract_z
Mn1 Mn 0.2193 0.2500 0.1250
Au1 Au 0.0000 0.0000 0.5000
S1 S 0.0000 0.0000 0.0000
```

Density of states at the Fermi level   15.39 states/eV per cell
E_form (uncorrected)   0.10 eV per atom
Density   7.37 g/cm3
Total DFT energy (no corrections)   -101.37 eV/cell


Record 7
A relaxed MnAuS2 crystal, computed with PBE.

CIF file:
```
data_MnAuS2
_chemical_formula_sum 'Mn4 Au4 S8'
_cell_length_a 3.3622
_cell_length_b 23.5539
_cell_length_c 3.6984
_cell_angle_alpha 90.00
_cell_angle_beta 90.00
_cell_angle_gamma 90.00
_symmetry_space_group_name_H-M 'C m c m'
_symmetry_Int_Tables_number 63
_symmetry_space_group_name_Hall '-C 2c 2'
loop_
_atom_site_label
_atom_site_type_symbol
_atom_site_fract_x
_atom_site_fract_y
_atom_site_fract_z
Mn1 Mn 0.0000 0.1837 0.2500
Au1 Au 0.0000 0.4591 0.2500
S1 S 0.0000 0.2895 0.2500
S2 S 0.0000 0.3927 0.7500
```

Density of states at the Fermi level   6.45 states/eV per cell
E_form (uncorrected)   -0.18 eV per atom
Density   7.17 g/cm3
Total DFT energy (no corrections)   -85.74 eV/cell


Record 8
A relaxed MnAuS4 crystal, computed with PBE.

CIF file:
```
data_MnAuS4
_chemical_formula_sum 'Mn2 Au2 S8'
_cell_length_a 6.1536
_cell_length_b 6.8857
_cell_length_c 7.0002
_cell_angle_alpha 111.94
_cell_angle_beta 111.91
_cell_angle_gamma 100.88
_symmetry_space_group_name_H-M 'P -1'
_symmetry_Int_Tables_number 2
_symmetry_space_group_name_Hall '-P 1'
loop_
_atom_site_label
_atom_site_type_symbol
_atom_site_fract_x
_atom_site_fract_y
_atom_site_fract_z
Mn1 Mn 0.1702 0.4603 0.4553
Au1 Au 0.2051 0.4024 0.9541
S1 S 0.0718 0.7713 0.4717
S2 S 0.1686 0.1391 0.1114
S3 S 0.2450 0.6800 0.8206
S4 S 0.4738 0.6322 0.3800
```

Density of states at the Fermi level   4.39 states/eV per cell
E_form (uncorrected)   -0.08 eV per atom
Density   5.35 g/cm3
Total DFT energy (no corrections)   -58.84 eV/cell


Q: Which formula does entry 2 have?
A: MnAuS2